The following is a DFT calculation (PBEsol) of crystalline LiLa2Pt2 at its relaxed geometry.

Cell lengths 7.7659, 7.7659, 3.9133 Å; angles 90.00, 90.00, 90.00 degrees
With the nearest neighbours (Å) after each atom.
Sites, in units of the cell vectors:
1 Li 0.0000 0.0000 0.0000  4 Pt 3.02
2 Li 0.5000 0.5000 0.0000  4 Pt 3.02
3 La 0.1653 0.3347 0.5000  6 Pt 2.93-3.06
4 La 0.3347 0.8347 0.5000  6 Pt 2.93-3.06
5 La 0.6653 0.1653 0.5000  6 Pt 2.93-3.06
6 La 0.8347 0.6653 0.5000  6 Pt 2.93-3.06
7 Pt 0.1357 0.6357 0.0000  6 La 2.93-3.06, 1 Pt 2.98, 2 Li 3.02
8 Pt 0.3643 0.1357 0.0000  6 La 2.93-3.06, 1 Pt 2.98, 2 Li 3.02
9 Pt 0.6357 0.8643 0.0000  6 La 2.93-3.06, 1 Pt 2.98, 2 Li 3.02
10 Pt 0.8643 0.3643 0.0000  6 La 2.93-3.06, 1 Pt 2.98, 2 Li 3.02

Calculated values
Total magnetization, Bohr magnetons per cell: 0.0
DOS(E_F), states/eV/cell: 6.50
Total energy, eV per cell: -61.8



The following is a DFT calculation (PBEsol) of crystalline Na4SrSi3O9 at its relaxed geometry.

Cell lengths 6.5979, 6.6067, 6.6071 Å; angles 109.46, 109.40, 109.51 degrees
With the nearest neighbours (Å) after each atom.
Sites, in units of the cell vectors:
1 Na 0.0000 0.0000 0.0000  2 O 2.23
2 Na 0.0172 0.0400 0.5204  6 O 2.45-2.46
3 Na 0.0371 0.5588 0.5589  2 O 2.22-2.23
4 Na 0.5179 0.5592 0.0010  2 O 2.23
5 Sr 0.5176 0.0400 0.5213  9 O 2.60-2.82
6 Si 0.0175 0.5056 0.0536  4 O 1.61-1.66
7 Si 0.4841 0.5064 0.4540  4 O 1.61-1.66
8 Si 0.5507 0.1067 0.0543  4 O 1.61-1.66
9 O 0.0498 0.7765 0.1820  1 Si 1.61
10 O 0.2558 0.5170 0.2599  2 Si 1.66
11 O 0.3102 0.9638 0.7848  1 Si 1.61
12 O 0.3889 0.3781 0.5971  1 Si 1.61
13 O 0.5209 0.3024 0.2625  2 Si 1.66
14 O 0.6461 0.9634 0.1818  1 Si 1.61
15 O 0.7215 0.7784 0.5975  1 Si 1.61
16 O 0.7760 0.2980 0.0377  2 Si 1.66
17 O 0.9867 0.3794 0.7832  1 Si 1.61

Calculated values
Formation energy from raw total energies, eV per atom: -2.5252
Total magnetization, Bohr magnetons per cell: 0.0
DOS(E_F), states/eV/cell: 0.00
Total energy, eV per cell: -114.9



The following is a DFT calculation (PBEsol) of crystalline TaHg2Au at its relaxed geometry.

Cell lengths 2.9926, 2.9926, 8.3850 Å; angles 90.00, 90.00, 90.00 degrees
With the nearest neighbours (Å) after each atom.
Sites, in units of the cell vectors:
1 Ta 0.0000 0.0000 0.0000  4 Au 2.81, 4 Hg 2.96, 4 Ta 2.99
2 Hg 0.0000 0.0000 0.4746  8 Hg 2.99-3.15, 4 Au 3.00
3 Hg 0.5000 0.5000 0.7525  4 Ta 2.96, 8 Hg 2.99-3.15
4 Au 0.5000 0.5000 0.2208  4 Ta 2.81, 4 Au 2.99, 4 Hg 3.00

Calculated values
Total magnetization, Bohr magnetons per cell: 0.0
DOS(E_F), states/eV/cell: 1.63
Energy above the lowest structure with this stoichiometry, meV/atom: 0
Total energy, eV per cell: -17.3



The following is a DFT calculation (PBEsol) of crystalline TlCCl3 at its relaxed geometry.

Cell lengths 5.1965, 5.1965, 5.1965 Å; angles 90.00, 90.00, 90.00 degrees
With the nearest neighbours (Å) after each atom.
Sites, in units of the cell vectors:
1 Tl 0.0000 0.0000 0.0000  6 Cl 2.60
2 C 0.5000 0.5000 0.5000  12 Cl 3.67
3 Cl 0.0000 0.0000 0.5000  2 Tl 2.60
4 Cl 0.0000 0.5000 0.0000  2 Tl 2.60
5 Cl 0.5000 0.0000 0.0000  2 Tl 2.60

Calculated values
Formation energy from raw total energies, eV per atom: 1.1628
Total magnetization, Bohr magnetons per cell: 1.7
DOS(E_F), states/eV/cell: 8.02
Total energy, eV per cell: -12.5



The following is a DFT calculation (PBEsol) of crystalline GaPSe3 at its relaxed geometry.

Cell lengths 4.8179, 4.8179, 4.8179 Å; angles 90.00, 90.00, 90.00 degrees
With the nearest neighbours (Å) after each atom.
Sites, in units of the cell vectors:
1 Ga 0.0000 0.0000 0.0000  6 Se 2.41
2 P 0.5000 0.5000 0.5000  12 Se 3.41
3 Se 0.0000 0.0000 0.5000  2 Ga 2.41
4 Se 0.0000 0.5000 0.0000  2 Ga 2.41
5 Se 0.5000 0.0000 0.0000  2 Ga 2.41

Calculated values
Formation energy from raw total energies, eV per atom: 0.7109
Total magnetization, Bohr magnetons per cell: 0.0
DOS(E_F), states/eV/cell: 4.66
Total energy, eV per cell: -17.1



The following is a DFT calculation (PBEsol) of crystalline BaTa2As at its relaxed geometry.

Cell lengths 9.4121, 9.4121, 9.4121 Å; angles 20.48, 20.48, 20.48 degrees
With the nearest neighbours (Å) after each atom.
Sites, in units of the cell vectors:
1 Ba 0.0000 0.0000 0.0000  6 Ba 3.35, 6 Ta 3.48
2 Ta 0.2285 0.2285 0.2285  3 As 2.58
3 Ta 0.7715 0.7715 0.7715  3 As 2.58
4 As 0.5000 0.5000 0.5000  6 Ta 2.58

Calculated values
Total magnetization, Bohr magnetons per cell: 0.0
DOS(E_F), states/eV/cell: 3.77
Total energy, eV per cell: -30.1



The following is a DFT calculation (PBEsol) of crystalline Mg2AsPb at its relaxed geometry.

Cell lengths 3.2194, 3.8716, 7.8406 Å; angles 90.00, 90.00, 90.00 degrees
With the nearest neighbours (Å) after each atom.
Sites, in units of the cell vectors:
1 Mg 0.0000 0.0000 0.0000  4 As 2.72
2 Mg 0.0000 0.5000 0.4106  2 As 2.72
3 As 0.5000 0.5000 0.1306  6 Mg 2.72
4 Pb 0.5000 0.0000 0.6547  6 Mg 3.15-3.16, 2 Pb 3.22

Calculated values
Total magnetization, Bohr magnetons per cell: 0.0
DOS(E_F), states/eV/cell: 1.40
Energy above the lowest structure with this stoichiometry, meV/atom: 48
Total energy, eV per cell: -13.3



The following is a DFT calculation (PBEsol) of crystalline CrIN2O at its relaxed geometry.

Cell lengths 3.9836, 3.9836, 4.1445 Å; angles 90.00, 90.00, 90.00 degrees
With the nearest neighbours (Å) after each atom.
Sites, in units of the cell vectors:
1 Cr 0.0000 0.0000 0.0000  4 I 2.82, 8 N 2.87
2 I 0.5000 0.5000 0.0000  2 O 2.07
3 N 0.0000 0.5000 0.5000  2 O 1.99
4 N 0.5000 0.0000 0.5000  2 O 1.99
5 O 0.5000 0.5000 0.5000  4 N 1.99, 2 I 2.07

Calculated values
Formation energy from raw total energies, eV per atom: 1.9679
Total magnetization, Bohr magnetons per cell: 1.7
DOS(E_F), states/eV/cell: 2.02
Total energy, eV per cell: -24.5



The following is a DFT calculation (PBEsol) of crystalline LaYIn2 at its relaxed geometry.

Cell lengths 10.9400, 10.9400, 10.9400 Å; angles 18.36, 18.36, 18.36 degrees
With the nearest neighbours (Å) after each atom.
Sites, in units of the cell vectors:
1 La 0.0000 0.0000 0.0000  3 In 3.47, 6 La 3.49, 3 Y 3.54
2 Y 0.2430 0.2430 0.2430  3 In 3.29, 6 Y 3.49, 3 La 3.54
3 In 0.4959 0.4959 0.4959  9 In 3.15-3.49, 3 Y 3.29
4 In 0.7541 0.7541 0.7541  9 In 3.15-3.49, 3 La 3.47

Calculated values
Total magnetization, Bohr magnetons per cell: 0.0
DOS(E_F), states/eV/cell: 3.35
Total energy, eV per cell: -18.7



The following is a DFT calculation (PBEsol) of crystalline Na2AgSb at its relaxed geometry.

Cell lengths 6.0276, 6.0276, 5.7013 Å; angles 90.00, 90.00, 80.21 degrees
With the nearest neighbours (Å) after each atom.
Sites, in units of the cell vectors:
1 Na 0.0266 0.3304 0.2500  4 Sb 3.16-3.32, 3 Na 3.29-3.49, 4 Ag 3.47-3.49
2 Na 0.3304 0.0266 0.7500  4 Sb 3.16-3.32, 3 Na 3.29-3.49, 4 Ag 3.47-3.49
3 Na 0.6696 0.9734 0.2500  4 Sb 3.16-3.32, 3 Na 3.29-3.49, 4 Ag 3.47-3.49
4 Na 0.9734 0.6696 0.7500  4 Sb 3.16-3.32, 3 Na 3.29-3.49, 4 Ag 3.47-3.49
5 Ag 0.5000 0.5000 0.0000  2 Sb 2.68, 2 Ag 2.85
6 Ag 0.5000 0.5000 0.5000  2 Sb 2.68, 2 Ag 2.85
7 Sb 0.2072 0.7928 0.2500  2 Ag 2.68
8 Sb 0.7928 0.2072 0.7500  2 Ag 2.68

Calculated values
Formation energy from raw total energies, eV per atom: -0.3375
Total magnetization, Bohr magnetons per cell: 0.0
Total energy, eV per cell: -24.0



What did the fourth record say?
The following is a DFT calculation (PBEsol) of crystalline TlCCl3 at its relaxed geometry.

Cell lengths 5.1965, 5.1965, 5.1965 Å; angles 90.00, 90.00, 90.00 degrees
With the nearest neighbours (Å) after each atom.
Sites, in units of the cell vectors:
1 Tl 0.0000 0.0000 0.0000  6 Cl 2.60
2 C 0.5000 0.5000 0.5000  12 Cl 3.67
3 Cl 0.0000 0.0000 0.5000  2 Tl 2.60
4 Cl 0.0000 0.5000 0.0000  2 Tl 2.60
5 Cl 0.5000 0.0000 0.0000  2 Tl 2.60

Calculated values
Formation energy from raw total energies, eV per atom: 1.1628
Total magnetization, Bohr magnetons per cell: 1.7
DOS(E_F), states/eV/cell: 8.02
Total energy, eV per cell: -12.5